A plane-wave DFT calculation with PBEsol was carried out for an optimized crystal structure of Hg3Au.

extended XYZ file:
```
4
Lattice="-3.8109 -3.1446 2.0233 -1.1596 -1.7526 -4.9081 3.5550 -3.9427 0.5680" Properties=species:S:1:pos:R:3 pbc="T T T"
Hg -0.5798 -0.8763 -2.4540
Hg -1.9055 -1.5723 1.0116
Hg 1.7775 -1.9714 0.2840
Au 0.0000 0.0000 0.0000
```

Values from the calculation:
* total energy: -5.04 eV per cell
* DFT formation energy: 0.59 eV/f.u.
* SG: No. 221
* energy above the most stable polymorph in this dataset: 0.1188 eV/atom
* D(E_F): 0.1391 states/eV/atom